Entry 1:
# NiHg2Se PBE relaxed
# Crystal system: tetragonal
# N(E_F) in states/eV per cell: 1.90
# E_form (uncorrected) in eV per formula unit: 1.33
data_NiHg2Se
_space_group_name_H-M_alt 'P 4/m m m'
_space_group_IT_number 123
_space_group_name_Hall '-P 4 2'
_cell_length_a 3.718
_cell_length_b 3.718
_cell_length_c 5.677
_cell_angle_alpha 90.00
_cell_angle_beta 90.00
_cell_angle_gamma 90.00
loop_
_atom_site_label
_atom_site_type_symbol
_atom_site_fract_x
_atom_site_fract_y
_atom_site_fract_z
Ni1 Ni 0.000 0.000 0.000
Hg1 Hg 0.500 0.500 0.239
Se1 Se 0.000 0.000 0.500

=====

Entry 2:
# NiHg2Se PBE relaxed
# Crystal system: monoclinic
# N(E_F) in states/eV per cell: 4.22
# E_form (uncorrected) in eV per formula unit: 0.35
data_NiHg2Se
_space_group_name_H-M_alt 'C 1 2/m 1'
_space_group_IT_number 12
_space_group_name_Hall '-C 2y'
_cell_length_a 14.346
_cell_length_b 3.082
_cell_length_c 3.901
_cell_angle_alpha 90.00
_cell_angle_beta 105.12
_cell_angle_gamma 90.00
loop_
_atom_site_label
_atom_site_type_symbol
_atom_site_fract_x
_atom_site_fract_y
_atom_site_fract_z
Ni1 Ni 0.000 0.000 0.000
Hg1 Hg 0.180 0.500 0.182
Se1 Se 0.000 0.500 0.500

=====

Entry 3:
# NiHgSe4 PBE relaxed
# Crystal system: cubic
# N(E_F) in states/eV per cell: 36.80
# E_form (uncorrected) in eV per formula unit: 4.58
data_NiHgSe4
_space_group_name_H-M_alt 'F -4 3 m'
_space_group_IT_number 216
_space_group_name_Hall 'F -4 2 3'
_cell_length_a 8.088
_cell_length_b 8.088
_cell_length_c 8.088
_cell_angle_alpha 90.00
_cell_angle_beta 90.00
_cell_angle_gamma 90.00
loop_
_atom_site_label
_atom_site_type_symbol
_atom_site_fract_x
_atom_site_fract_y
_atom_site_fract_z
Ni1 Ni 0.000 0.000 0.000
Hg1 Hg 0.250 0.250 0.250
Se1 Se 0.125 0.125 0.625

=====

Entry 4:
# NiHg2Se PBE relaxed
# Crystal system: tetragonal
# N(E_F) in states/eV per cell: 2.08
# E_form (uncorrected) in eV per formula unit: 1.49
data_NiHg2Se
_space_group_name_H-M_alt 'I -4 m 2'
_space_group_IT_number 119
_space_group_name_Hall 'I -4 -2'
_cell_length_a 4.199
_cell_length_b 4.199
_cell_length_c 8.825
_cell_angle_alpha 90.00
_cell_angle_beta 90.00
_cell_angle_gamma 90.00
loop_
_atom_site_label
_atom_site_type_symbol
_atom_site_fract_x
_atom_site_fract_y
_atom_site_fract_z
Ni1 Ni 0.000 0.000 0.000
Hg1 Hg 0.000 0.000 0.500
Hg2 Hg 0.000 0.500 0.250
Se1 Se 0.000 0.500 0.750